# 1
# Cu3Ag2 (PBE, relaxed)
# - SG = C2/m
# - DFT formation energy (kJ/mol of formula units) = 44
# - offset from the most stable computed form (meV per atom) = 48.4
data_Cu3Ag2
_chemical_formula_sum 'Cu6 Ag4'
_symmetry_space_group_name_H-M 'P 1'
_symmetry_Int_Tables_number 1
_cell_length_a 11.431
_cell_length_b 11.431
_cell_length_c 4.546
_cell_angle_alpha 101.21
_cell_angle_beta 101.21
_cell_angle_gamma 14.21
loop_
_symmetry_equiv_pos_as_xyz
'x,y,z'
loop_
_atom_site_label
_atom_site_type_symbol
_atom_site_fract_x
_atom_site_fract_y
_atom_site_fract_z
Cu1 Cu 0.000 0.000 0.000
Cu2 Cu 0.089 0.089 0.442
Cu3 Cu 0.206 0.206 0.030
Cu4 Cu 0.500 0.500 0.500
Cu5 Cu 0.794 0.794 0.970
Cu6 Cu 0.911 0.911 0.558
Ag1 Ag 0.307 0.307 0.482
Ag2 Ag 0.398 0.398 0.047
Ag3 Ag 0.602 0.602 0.953
Ag4 Ag 0.693 0.693 0.518

***

# 2
# CuAg (PBE, relaxed)
# - SG = P1
# - DFT formation energy (kJ/mol of formula units) = 19
data_CuAg
_chemical_formula_sum 'Cu5 Ag5'
_symmetry_space_group_name_H-M 'P 1'
_symmetry_Int_Tables_number 1
_cell_length_a 4.798
_cell_length_b 4.815
_cell_length_c 7.246
_cell_angle_alpha 107.78
_cell_angle_beta 103.48
_cell_angle_gamma 100.09
loop_
_symmetry_equiv_pos_as_xyz
'x,y,z'
loop_
_atom_site_label
_atom_site_type_symbol
_atom_site_fract_x
_atom_site_fract_y
_atom_site_fract_z
Cu1 Cu 0.000 0.000 0.000
Cu2 Cu 0.089 0.201 0.703
Cu3 Cu 0.295 0.596 0.096
Cu4 Cu 0.567 0.194 0.188
Cu5 Cu 0.864 0.806 0.283
Ag1 Ag 0.155 0.389 0.375
Ag2 Ag 0.387 0.799 0.807
Ag3 Ag 0.471 0.002 0.484
Ag4 Ag 0.708 0.402 0.909
Ag5 Ag 0.786 0.611 0.590

***

# 3
# CuAg (PBE, relaxed)
# - SG = C2/m
# - DFT formation energy (kJ/mol of formula units) = 14
data_CuAg
_chemical_formula_sum 'Cu4 Ag4'
_symmetry_space_group_name_H-M 'P 1'
_symmetry_Int_Tables_number 1
_cell_length_a 5.641
_cell_length_b 5.641
_cell_length_c 9.184
_cell_angle_alpha 122.39
_cell_angle_beta 122.39
_cell_angle_gamma 29.48
loop_
_symmetry_equiv_pos_as_xyz
'x,y,z'
loop_
_atom_site_label
_atom_site_type_symbol
_atom_site_fract_x
_atom_site_fract_y
_atom_site_fract_z
Cu1 Cu 0.100 0.100 0.156
Cu2 Cu 0.369 0.369 0.053
Cu3 Cu 0.631 0.631 0.947
Cu4 Cu 0.900 0.900 0.844
Ag1 Ag 0.150 0.150 0.705
Ag2 Ag 0.385 0.385 0.588
Ag3 Ag 0.615 0.615 0.412
Ag4 Ag 0.850 0.850 0.295

***

# 4
# Cu7Ag2 (PBE, relaxed)
# - SG = C2/m
# - DFT formation energy (kJ/mol of formula units) = 57
# - offset from the most stable computed form (meV per atom) = 19.9
data_Cu7Ag2
_chemical_formula_sum 'Cu7 Ag2'
_symmetry_space_group_name_H-M 'P 1'
_symmetry_Int_Tables_number 1
_cell_length_a 4.602
_cell_length_b 4.602
_cell_length_c 8.024
_cell_angle_alpha 107.71
_cell_angle_beta 107.71
_cell_angle_gamma 47.76
loop_
_symmetry_equiv_pos_as_xyz
'x,y,z'
loop_
_atom_site_label
_atom_site_type_symbol
_atom_site_fract_x
_atom_site_fract_y
_atom_site_fract_z
Cu1 Cu 0.000 0.000 0.000
Cu2 Cu 0.008 0.008 0.688
Cu3 Cu 0.331 0.331 0.101
Cu4 Cu 0.344 0.344 0.795
Cu5 Cu 0.656 0.656 0.205
Cu6 Cu 0.669 0.669 0.899
Cu7 Cu 0.992 0.992 0.312
Ag1 Ag 0.330 0.330 0.433
Ag2 Ag 0.670 0.670 0.567

***

# 5
# Cu3Ag4 (PBE, relaxed)
# - SG = Immm
# - DFT formation energy (kJ/mol of formula units) = 51
# - offset from the most stable computed form (meV per atom) = 34.2
data_Cu3Ag4
_chemical_formula_sum 'Cu3 Ag4'
_symmetry_space_group_name_H-M 'P 1'
_symmetry_Int_Tables_number 1
_cell_length_a 10.408
_cell_length_b 10.408
_cell_length_c 10.408
_cell_angle_alpha 164.37
_cell_angle_beta 159.25
_cell_angle_gamma 26.09
loop_
_symmetry_equiv_pos_as_xyz
'x,y,z'
loop_
_atom_site_label
_atom_site_type_symbol
_atom_site_fract_x
_atom_site_fract_y
_atom_site_fract_z
Cu1 Cu 0.000 0.000 0.000
Cu2 Cu 0.440 0.440 0.000
Cu3 Cu 0.560 0.560 0.000
Ag1 Ag 0.130 0.130 0.000
Ag2 Ag 0.290 0.290 0.000
Ag3 Ag 0.710 0.710 0.000
Ag4 Ag 0.870 0.870 0.000

***

# 6
# Cu9Ag11 (PBE, relaxed)
# - SG = P1
# - DFT formation energy (kJ/mol of formula units) = 180
# - offset from the most stable computed form (meV per atom) = 5.8
data_Cu9Ag11
_chemical_formula_sum 'Cu18 Ag22'
_symmetry_space_group_name_H-M 'P 1'
_symmetry_Int_Tables_number 1
_cell_length_a 5.619
_cell_length_b 9.566
_cell_length_c 11.724
_cell_angle_alpha 82.76
_cell_angle_beta 76.75
_cell_angle_gamma 89.51
loop_
_symmetry_equiv_pos_as_xyz
'x,y,z'
loop_
_atom_site_label
_atom_site_type_symbol
_atom_site_fract_x
_atom_site_fract_y
_atom_site_fract_z
Cu1 Cu 0.000 0.000 0.000
Cu2 Cu 0.001 0.492 0.014
Cu3 Cu 0.145 0.544 0.195
Cu4 Cu 0.205 0.392 0.599
Cu5 Cu 0.207 0.911 0.606
Cu6 Cu 0.251 0.258 0.006
Cu7 Cu 0.321 0.099 0.407
Cu8 Cu 0.348 0.957 0.801
Cu9 Cu 0.445 0.151 0.598
Cu10 Cu 0.493 0.497 0.011
Cu11 Cu 0.546 0.336 0.405
Cu12 Cu 0.547 0.867 0.405
Cu13 Cu 0.600 0.190 0.800
Cu14 Cu 0.642 0.056 0.213
Cu15 Cu 0.664 0.542 0.195
Cu16 Cu 0.774 0.105 0.400
Cu17 Cu 0.851 0.957 0.806
Cu18 Cu 0.892 0.310 0.205
Ag1 Ag 0.043 0.337 0.400
Ag2 Ag 0.053 0.866 0.411
Ag3 Ag 0.100 0.714 0.799
Ag4 Ag 0.112 0.193 0.804
Ag5 Ag 0.135 0.067 0.204
Ag6 Ag 0.244 0.746 0.007
Ag7 Ag 0.306 0.586 0.393
Ag8 Ag 0.345 0.447 0.813
Ag9 Ag 0.399 0.803 0.209
Ag10 Ag 0.408 0.307 0.204
Ag11 Ag 0.445 0.654 0.595
Ag12 Ag 0.496 0.007 0.999
Ag13 Ag 0.597 0.707 0.804
Ag14 Ag 0.684 0.390 0.604
Ag15 Ag 0.685 0.910 0.606
Ag16 Ag 0.749 0.743 0.007
Ag17 Ag 0.760 0.248 0.009
Ag18 Ag 0.800 0.596 0.392
Ag19 Ag 0.848 0.447 0.809
Ag20 Ag 0.893 0.810 0.206
Ag21 Ag 0.951 0.646 0.599
Ag22 Ag 0.957 0.145 0.602

***

# 7
# Cu3Ag2 (PBE, relaxed)
# - SG = Cmmm
# - DFT formation energy (kJ/mol of formula units) = 36
# - offset from the most stable computed form (meV per atom) = 33.4
data_Cu3Ag2
_chemical_formula_sum 'Cu6 Ag4'
_symmetry_space_group_name_H-M 'P 1'
_symmetry_Int_Tables_number 1
_cell_length_a 9.711
_cell_length_b 9.711
_cell_length_c 3.871
_cell_angle_alpha 90.00
_cell_angle_beta 90.00
_cell_angle_gamma 157.01
loop_
_symmetry_equiv_pos_as_xyz
'x,y,z'
loop_
_atom_site_label
_atom_site_type_symbol
_atom_site_fract_x
_atom_site_fract_y
_atom_site_fract_z
Cu1 Cu 0.114 0.886 0.000
Cu2 Cu 0.207 0.793 0.500
Cu3 Cu 0.293 0.707 0.000
Cu4 Cu 0.707 0.293 0.000
Cu5 Cu 0.793 0.207 0.500
Cu6 Cu 0.886 0.114 0.000
Ag1 Ag 0.000 0.000 0.500
Ag2 Ag 0.389 0.611 0.500
Ag3 Ag 0.500 0.500 0.000
Ag4 Ag 0.611 0.389 0.500

***

# 8
# Cu4Ag5 (PBE, relaxed)
# - SG = Immm
# - DFT formation energy (kJ/mol of formula units) = 71
# - offset from the most stable computed form (meV per atom) = 44.2
data_Cu4Ag5
_chemical_formula_sum 'Cu4 Ag5'
_symmetry_space_group_name_H-M 'P 1'
_symmetry_Int_Tables_number 1
_cell_length_a 13.387
_cell_length_b 13.387
_cell_length_c 13.387
_cell_angle_alpha 167.81
_cell_angle_beta 164.23
_cell_angle_gamma 19.98
loop_
_symmetry_equiv_pos_as_xyz
'x,y,z'
loop_
_atom_site_label
_atom_site_type_symbol
_atom_site_fract_x
_atom_site_fract_y
_atom_site_fract_z
Cu1 Cu 0.054 0.054 0.000
Cu2 Cu 0.399 0.399 0.000
Cu3 Cu 0.601 0.601 0.000
Cu4 Cu 0.946 0.946 0.000
Ag1 Ag 0.155 0.155 0.000
Ag2 Ag 0.282 0.282 0.000
Ag3 Ag 0.500 0.500 0.000
Ag4 Ag 0.718 0.718 0.000
Ag5 Ag 0.845 0.845 0.000

***

Number 1 is which compound?
Cu3Ag2

***

What is the DFT formation energy in the first record?
44 kJ/mol of formula units

***

Which of these has the lowest DFT formation energy?
number 3